# ZrScIn2

A geometry-optimized ZrScIn2 structure (PBE, the Alexandria database).

Calculated values
Energy above the most stable polymorph in this dataset: 0.45 eV per formula unit
Calculated density: 6.76 g cm⁻³
Uncorrected energy: -0.1966 hartree per atom
Volume: 89.8 Å³/cell
Energy relative to the elements: -1.0 eV/f.u.

```
data_ZrScIn2
_cell_length_a 5.0269
_cell_length_b 5.0269
_cell_length_c 5.0269
_cell_angle_alpha 60.00
_cell_angle_beta 60.00
_cell_angle_gamma 60.00
_space_group_name_H-M_alt 'P 1'
_space_group_IT_number 1
_space_group_name_Hall 'P 1'
loop_
_atom_site_label
_atom_site_fract_x
_atom_site_fract_y
_atom_site_fract_z
Sc1 0.0000 0.0000 0.0000
Zr1 0.5000 0.5000 0.5000
In1 0.2500 0.2500 0.2500
In2 0.7500 0.7500 0.7500
```